{
  "formula": "TiGePb2O6",
  "functional": "PBE",
  "state": "optimized geometry",
  "final_energy_ev_per_fu": -68.22,
  "lattice": [[-2.297, 3.842, 1.979], [-3.567, -0.108, -3.931], [-3.042, -3.287, 2.851]],
  "species": ["Pb", "Pb", "Ge", "O", "O", "O", "O", "O", "O", "Ti"],
  "frac_coords": [[0.035, 0.000, 0.500], [0.035, 0.500, 0.000], [0.579, 0.000, 0.000], [0.223, 0.500, 0.500], [0.694, 0.245, 0.245], [0.694, 0.245, 0.755], [0.219, 0.000, 0.000], [0.694, 0.755, 0.245], [0.694, 0.755, 0.755], [0.580, 0.500, 0.500]]
}